No. 1
# Ac2Tl2Hg PBE relaxed
# ΔH_f (0 K) (meV per atom): -306.4
# Polymorph energy (0 for the lowest one) (meV per atom): 68.7
data_Ac2Tl2Hg
_chemical_formula_sum 'Ac2 Tl2 Hg1'
_space_group_name_H-M_alt 'P -1'
_space_group_IT_number 2
_cell_length_a 4.114
_cell_length_b 4.219
_cell_length_c 9.907
_cell_angle_alpha 79.23
_cell_angle_beta 82.19
_cell_angle_gamma 88.31
loop_
_space_group_symop_operation_xyz
'x,y,z'
'-x,-y,-z'
loop_
_atom_site_label
_atom_site_type_symbol
_atom_site_fract_x
_atom_site_fract_y
_atom_site_fract_z
_atom_site_occupancy
Ac1 Ac 0.066 0.093 0.297 1
Tl1 Tl 0.310 0.297 0.917 1
Hg1 Hg 0.500 0.500 0.500 1


No. 2
# Ac3Tl4Hg2 PBE relaxed
# ΔH_f (0 K) (meV per atom): -354.7
data_Ac3Tl4Hg2
_chemical_formula_sum 'Ac6 Tl8 Hg4'
_space_group_name_H-M_alt 'C 1 2/m 1'
_space_group_IT_number 12
_cell_length_a 12.237
_cell_length_b 5.179
_cell_length_c 9.922
_cell_angle_alpha 90.00
_cell_angle_beta 113.49
_cell_angle_gamma 90.00
loop_
_space_group_symop_operation_xyz
'x,y,z'
'-x,-y,-z'
'-x,y,-z'
'x,-y,z'
'x+1/2,y+1/2,z'
'-x+1/2,-y+1/2,-z'
'-x+1/2,y+1/2,-z'
'x+1/2,-y+1/2,z'
loop_
_atom_site_label
_atom_site_type_symbol
_atom_site_fract_x
_atom_site_fract_y
_atom_site_fract_z
_atom_site_occupancy
Ac1 Ac 0.000 0.000 0.000 1
Ac2 Ac 0.166 0.500 0.666 1
Tl1 Tl 0.037 0.000 0.367 1
Tl2 Tl 0.195 0.500 0.033 1
Hg1 Hg 0.144 0.500 0.311 1


No. 3
# Ac2TlHg8 PBE relaxed
# ΔH_f (0 K) (meV per atom): -268.1
# Polymorph energy (0 for the lowest one) (meV per atom): 18.1
data_Ac2TlHg8
_chemical_formula_sum 'Ac4 Tl2 Hg16'
_space_group_name_H-M_alt 'C 1 2/m 1'
_space_group_IT_number 12
_cell_length_a 18.134
_cell_length_b 5.080
_cell_length_c 7.544
_cell_angle_alpha 90.00
_cell_angle_beta 114.48
_cell_angle_gamma 90.00
loop_
_space_group_symop_operation_xyz
'x,y,z'
'-x,-y,-z'
'-x,y,-z'
'x,-y,z'
'x+1/2,y+1/2,z'
'-x+1/2,-y+1/2,-z'
'-x+1/2,y+1/2,-z'
'x+1/2,-y+1/2,z'
loop_
_atom_site_label
_atom_site_type_symbol
_atom_site_fract_x
_atom_site_fract_y
_atom_site_fract_z
_atom_site_occupancy
Ac1 Ac 0.211 0.000 0.211 1
Tl1 Tl 0.000 0.500 0.500 1
Hg1 Hg 0.000 0.000 0.199 1
Hg2 Hg 0.127 0.500 0.339 1
Hg3 Hg 0.127 0.500 0.915 1
Hg4 Hg 0.150 0.000 0.649 1


No. 4
# Ac4Tl3Hg2 PBE relaxed
# ΔH_f (0 K) (meV per atom): -354.4
data_Ac4Tl3Hg2
_chemical_formula_sum 'Ac4 Tl3 Hg2'
_space_group_name_H-M_alt 'P -3 m 1'
_space_group_IT_number 164
_space_group_name_Hall '-P 3 2"'
_cell_length_a 5.4974
_cell_length_b 5.4974
_cell_length_c 11.7264
_cell_angle_alpha 90.00
_cell_angle_beta 90.00
_cell_angle_gamma 120.00
loop_
_atom_site_label
_atom_site_type_symbol
_atom_site_fract_x
_atom_site_fract_y
_atom_site_fract_z
_atom_site_occupancy
Ac1 Ac 0.0000 0.0000 0.1625 1
Ac2 Ac 0.3333 0.6667 0.3846 1
Tl1 Tl 0.0000 0.0000 0.5000 1
Tl2 Tl 0.3333 0.6667 0.0470 1
Hg1 Hg 0.3333 0.6667 0.7118 1


No. 5
# Ac2Tl3Hg3 PBE relaxed
# ΔH_f (0 K) (meV per atom): -343.0
data_Ac2Tl3Hg3
_chemical_formula_sum 'Ac6 Tl9 Hg9'
_space_group_name_H-M_alt 'R 3 m'
_space_group_IT_number 160
_space_group_name_Hall 'R 3 -2"'
_cell_length_a 5.5472
_cell_length_b 5.5472
_cell_length_c 26.8694
_cell_angle_alpha 90.00
_cell_angle_beta 90.00
_cell_angle_gamma 120.00
loop_
_atom_site_label
_atom_site_type_symbol
_atom_site_fract_x
_atom_site_fract_y
_atom_site_fract_z
_atom_site_occupancy
Ac1 Ac 0.0000 0.0000 0.0000 1
Ac2 Ac 0.0000 0.0000 0.4933 1
Tl1 Tl 0.0000 0.0000 0.2482 1
Tl2 Tl 0.0000 0.0000 0.7451 1
Tl3 Tl 0.0000 0.0000 0.8720 1
Hg1 Hg 0.0000 0.0000 0.1242 1
Hg2 Hg 0.0000 0.0000 0.3701 1
Hg3 Hg 0.0000 0.0000 0.6202 1


No. 6
# Ac3Tl3Hg2 PBE relaxed
# ΔH_f (0 K) (meV per atom): -363.9
# Polymorph energy (0 for the lowest one) (meV per atom): 0.0
data_Ac3Tl3Hg2
_chemical_formula_sum 'Ac3 Tl3 Hg2'
_space_group_name_H-M_alt 'P -6 2 m'
_space_group_IT_number 189
_space_group_name_Hall 'P -6 -2'
_cell_length_a 8.7132
_cell_length_b 8.7132
_cell_length_c 4.0549
_cell_angle_alpha 90.00
_cell_angle_beta 90.00
_cell_angle_gamma 120.00
loop_
_atom_site_label
_atom_site_type_symbol
_atom_site_fract_x
_atom_site_fract_y
_atom_site_fract_z
_atom_site_occupancy
Ac1 Ac 0.0000 0.3822 0.0000 1
Tl1 Tl 0.0000 0.7554 0.5000 1
Hg1 Hg 0.3333 0.6667 0.5000 1


No. 7
# Ac2Tl2Hg PBE relaxed
# ΔH_f (0 K) (meV per atom): -375.1
# Polymorph energy (0 for the lowest one) (meV per atom): 0.0
data_Ac2Tl2Hg
_chemical_formula_sum 'Ac8 Tl8 Hg4'
_space_group_name_H-M_alt 'C 1 2/m 1'
_space_group_IT_number 12
_cell_length_a 12.139
_cell_length_b 5.094
_cell_length_c 12.149
_cell_angle_alpha 90.00
_cell_angle_beta 117.41
_cell_angle_gamma 90.00
loop_
_space_group_symop_operation_xyz
'x,y,z'
'-x,-y,-z'
'-x,y,-z'
'x,-y,z'
'x+1/2,y+1/2,z'
'-x+1/2,-y+1/2,-z'
'-x+1/2,y+1/2,-z'
'x+1/2,-y+1/2,z'
loop_
_atom_site_label
_atom_site_type_symbol
_atom_site_fract_x
_atom_site_fract_y
_atom_site_fract_z
_atom_site_occupancy
Ac1 Ac 0.019 0.000 0.333 1
Ac2 Ac 0.183 0.000 0.106 1
Tl1 Tl 0.034 0.500 0.889 1
Tl2 Tl 0.145 0.500 0.550 1
Hg1 Hg 0.227 0.500 0.325 1


No. 8
# Ac2Tl2Hg15 PBE relaxed
# ΔH_f (0 K) (meV per atom): -142.9
data_Ac2Tl2Hg15
_chemical_formula_sum 'Ac6 Tl6 Hg45'
_space_group_name_H-M_alt 'R -3 m'
_space_group_IT_number 166
_space_group_name_Hall '-R 3 2"'
_cell_length_a 9.5469
_cell_length_b 9.5469
_cell_length_c 20.6242
_cell_angle_alpha 90.00
_cell_angle_beta 90.00
_cell_angle_gamma 120.00
loop_
_atom_site_label
_atom_site_type_symbol
_atom_site_fract_x
_atom_site_fract_y
_atom_site_fract_z
_atom_site_occupancy
Ac1 Ac 0.0000 0.0000 0.2135 1
Tl1 Tl 0.0000 0.0000 0.4068 1
Hg1 Hg 0.0000 0.3052 0.5000 1
Hg2 Hg 0.0000 0.5000 0.0000 1
Hg3 Hg 0.0777 0.5389 0.6143 1